<A>
# MgTaH3 PBE optimized geometry
# Space group: Pm-3m (221)
data_MgTaH3
_cell_length_a 3.674
_cell_length_b 3.674
_cell_length_c 3.674
_cell_angle_alpha 90.00
_cell_angle_beta 90.00
_cell_angle_gamma 90.00
_space_group_name_H-M_alt 'P 1'
_space_group_IT_number 1
_space_group_name_Hall 'P 1'
loop_
_atom_site_label
_atom_site_type_symbol
_atom_site_fract_x
_atom_site_fract_y
_atom_site_fract_z
H1 H 0.000 0.000 0.500
H2 H 0.500 0.000 0.000
H3 H 0.000 0.500 0.000
Mg1 Mg 0.500 0.500 0.500
Ta1 Ta 0.000 0.000 0.000



<B>
# MgTaH3 PBE optimized geometry
# Space group: Pm-3m (221)
data_MgTaH3
_cell_length_a 3.535
_cell_length_b 3.535
_cell_length_c 3.535
_cell_angle_alpha 90.00
_cell_angle_beta 90.00
_cell_angle_gamma 90.00
_space_group_name_H-M_alt 'P 1'
_space_group_IT_number 1
_space_group_name_Hall 'P 1'
loop_
_atom_site_label
_atom_site_type_symbol
_atom_site_fract_x
_atom_site_fract_y
_atom_site_fract_z
Mg1 Mg 0.000 0.000 0.000
H1 H 0.000 0.000 0.500
H2 H 0.500 0.000 0.000
H3 H 0.000 0.500 0.000
Ta1 Ta 0.500 0.500 0.500



Preferred: <A>; penalty for the next structure: 0.558 eV/atom.



<A>
# MgTa2H PBE optimized geometry
# Space group: Fm-3m (225)
data_MgTa2H
_cell_length_a 4.439
_cell_length_b 4.439
_cell_length_c 4.439
_cell_angle_alpha 60.00
_cell_angle_beta 60.00
_cell_angle_gamma 60.00
_space_group_name_H-M_alt 'P 1'
_space_group_IT_number 1
_space_group_name_Hall 'P 1'
loop_
_atom_site_label
_atom_site_type_symbol
_atom_site_fract_x
_atom_site_fract_y
_atom_site_fract_z
Mg1 Mg 0.500 0.500 0.500
Ta1 Ta 0.750 0.750 0.750
Ta2 Ta 0.250 0.250 0.250
H1 H 0.000 0.000 0.000



<B>
# MgTa2H PBE optimized geometry
# Space group: Fd-3m (227)
data_MgTa2H
_cell_length_a 5.795
_cell_length_b 5.795
_cell_length_c 5.799
_cell_angle_alpha 60.03
_cell_angle_beta 60.03
_cell_angle_gamma 90.00
_space_group_name_H-M_alt 'P 1'
_space_group_IT_number 1
_space_group_name_Hall 'P 1'
loop_
_atom_site_label
_atom_site_type_symbol
_atom_site_fract_x
_atom_site_fract_y
_atom_site_fract_z
Ta1 Ta 0.376 0.625 0.250
Ta2 Ta 0.375 0.626 0.750
Ta3 Ta 0.875 0.624 0.750
Ta4 Ta 0.374 0.125 0.250
H1 H 0.500 0.500 0.000
H2 H 0.250 0.750 0.500
Mg1 Mg 0.000 0.000 0.000
Mg2 Mg 0.750 0.250 0.500



Preferred: <B>; penalty for the next structure: 0.720 eV/atom.